VASP calculation (GGA-PBE) on HoGe2Sb after structural relaxation.

Output
Its space-group type is P4/mmm (123). As for the crystal system: tetragonal. The calculation puts the formation energy from raw total energies at -1.4 eV/f.u.

a = 4.241 Å, b = 4.595 Å, c = 4.595 Å
α = 90.00°, β = 90.00°, γ = 90.00°
Atoms (fractional coordinates):
Ge  0.000  0.000  0.500
Sb  0.500  0.500  0.500
Ho  0.500  0.000  0.000
Ge  0.000  0.500  0.000